Entry from the Alexandria database: an optimized crystal structure of VPt3Rh3 (PBE).

Calculated values
* crystal system: orthorhombic
* energy of formation: -0.06 eV per atom
* space group: Cmmm

Cell: 5.3633 5.3633 7.6881 Å, 90.00 90.00 92.07°
With the nearest neighbours (Å) after each atom.
Fractional positions:
1 V 0.2454 0.7546 0.0000  2 Rh 2.46, 6 Pt 2.63
2 V 0.7546 0.2454 0.0000  2 Rh 2.46, 6 Pt 2.63
3 Pt 0.0000 0.0000 0.2375  2 V 2.63, 4 Pt 2.68, 6 Rh 2.76-2.89
4 Pt 0.0000 0.0000 0.7625  2 V 2.63, 4 Pt 2.68, 6 Rh 2.76-2.89
5 Pt 0.0000 0.5000 0.2421  2 V 2.63, 2 Pt 2.68, 6 Rh 2.71-2.77
6 Pt 0.0000 0.5000 0.7579  2 V 2.63, 2 Pt 2.68, 6 Rh 2.71-2.77
7 Pt 0.5000 0.0000 0.2421  2 V 2.63, 2 Pt 2.68, 6 Rh 2.71-2.77
8 Pt 0.5000 0.0000 0.7579  2 V 2.63, 2 Pt 2.68, 6 Rh 2.71-2.77
9 Rh 0.2538 0.2538 0.5000  4 Rh 2.59-2.78, 6 Pt 2.76-2.77
10 Rh 0.2639 0.7361 0.5000  4 Rh 2.59-2.78, 6 Pt 2.72-2.87
11 Rh 0.3010 0.3010 0.0000  2 V 2.46, 4 Pt 2.71
12 Rh 0.6990 0.6990 0.0000  2 V 2.46, 4 Pt 2.71
13 Rh 0.7361 0.2639 0.5000  4 Rh 2.59-2.78, 6 Pt 2.72-2.87
14 Rh 0.7462 0.7462 0.5000  4 Rh 2.59-2.78, 6 Pt 2.76-2.77